{
  "formula": "Na4Ni3PtO8",
  "functional": "GGA+U",
  "state": "relaxed",
  "lattice": [[3.075, 1.776, 5.275], [-3.075, 1.776, 5.275], [0.000, -3.551, 5.275]],
  "species": ["Na", "Na", "Na", "Na", "Ni", "Ni", "Ni", "Pt", "O", "O", "O", "O", "O", "O", "O", "O"],
  "fractional_positions": [[0.000, 0.000, 0.000], [0.000, 0.500, 0.500], [0.500, 0.000, 0.500], [0.500, 0.500, 0.000], [0.000, 0.000, 0.500], [0.000, 0.500, 0.000], [0.500, 0.000, 0.000], [0.500, 0.500, 0.500], [0.228, 0.228, 0.228], [0.245, 0.730, 0.730], [0.270, 0.270, 0.755], [0.270, 0.755, 0.270], [0.730, 0.245, 0.730], [0.730, 0.730, 0.245], [0.755, 0.270, 0.270], [0.772, 0.772, 0.772]],
  "total_energy_ev_per_cell": -77.3,
  "spacegroup": "No. 166",
  "vol_a3_per_cell": 172.8
}